A plane-wave DFT calculation with PBE was carried out for a geometry-optimized Cs2H5Pt structure.

Cell lengths 6.272, 6.272, 6.272 Å; angles 119.45, 119.45, 90.96 degrees
Sites, in units of the cell vectors:
1 Cs 0.000 0.500 0.500
2 Cs 0.500 0.000 0.500
3 H 0.056 0.056 0.000
4 H 0.065 0.065 0.628
5 H 0.065 0.436 0.000
6 H 0.436 0.065 0.000
7 H 0.436 0.436 0.372
8 Pt 0.244 0.244 0.000

Values from the calculation:
The total DFT energy (no corrections) is -3.3642 eV/atom.

A plane-wave DFT calculation with PBE was carried out for a geometry-optimized Cs2H2Pt structure.

Cell lengths 7.645, 8.486, 4.391 Å; angles 90.00, 90.00, 90.00 degrees
Sites, in units of the cell vectors:
1 Cs 0.187 0.199 0.000
2 Cs 0.313 0.699 0.000
3 Cs 0.687 0.301 0.000
4 Cs 0.813 0.801 0.000
5 H 0.215 0.456 0.500
6 H 0.285 0.956 0.500
7 H 0.715 0.044 0.500
8 H 0.785 0.544 0.500
9 Pt 0.000 0.500 0.500
10 Pt 0.500 0.000 0.500

Values from the calculation:
The total DFT energy (no corrections) is -3.1789 eV/atom.

A plane-wave DFT calculation with PBE was carried out for a geometry-optimized Cs8H8Pt3 structure.

Cell lengths 11.807, 11.807, 8.615 Å; angles 110.14, 110.14, 29.26 degrees
Sites, in units of the cell vectors:
1 Cs 0.021 0.021 0.265
2 Cs 0.212 0.212 0.138
3 Cs 0.334 0.334 0.597
4 Cs 0.391 0.391 0.198
5 Cs 0.609 0.609 0.802
6 Cs 0.666 0.666 0.403
7 Cs 0.788 0.788 0.862
8 Cs 0.979 0.979 0.735
9 H 0.127 0.127 0.788
10 H 0.189 0.189 0.493
11 H 0.247 0.247 0.819
12 H 0.472 0.472 0.792
13 H 0.528 0.528 0.208
14 H 0.753 0.753 0.181
15 H 0.811 0.811 0.507
16 H 0.873 0.873 0.212
17 Pt 0.171 0.171 0.667
18 Pt 0.500 0.500 0.000
19 Pt 0.829 0.829 0.333

Values from the calculation:
The total DFT energy (no corrections) is -2.9829 eV/atom.

A plane-wave DFT calculation with PBE was carried out for a geometry-optimized CsH8Pt2 structure.

Cell lengths 6.455, 6.455, 3.531 Å; angles 90.00, 90.00, 121.04 degrees
Sites, in units of the cell vectors:
1 Cs 0.000 0.000 0.000
2 H 0.081 0.399 0.500
3 H 0.351 0.649 0.000
4 H 0.376 0.376 0.500
5 H 0.399 0.081 0.500
6 H 0.601 0.919 0.500
7 H 0.624 0.624 0.500
8 H 0.649 0.351 0.000
9 H 0.919 0.601 0.500
10 Pt 0.359 0.641 0.500
11 Pt 0.641 0.359 0.500

Values from the calculation:
The total DFT energy (no corrections) is -3.6059 eV/atom.